Material: HfZrAlNi
Method: DFT, PBE
State: relaxed

a b c (Å): 6.5831 6.5831 6.5831
angles (deg): 90.00 90.00 90.00
Space group F-43m (No. 216)
Inequivalent atoms, fractional coordinates:
Hf: 0.0000 0.0000 0.0000
Zr: 0.2500 0.2500 0.7500
Al: 0.2500 0.2500 0.2500
Ni: 0.0000 0.0000 0.5000

=====

Material: HfZrAl2Ni4
Method: DFT, PBE
State: relaxed

a b c (Å): 4.0827 4.0827 8.0255
angles (deg): 90.00 90.00 120.00
Space group P-6m2 (No. 187)
Inequivalent atoms, fractional coordinates:
Hf: 0.0000 0.0000 0.0000
Zr: 0.6667 0.3333 0.5000
Al: 0.3333 0.6667 0.2498
Ni: 0.0000 0.0000 0.3344
Ni: 0.6667 0.3333 0.1644

=====

Material: HfZr2Al3Ni3
Method: DFT, PBE
State: relaxed

a b c (Å): 3.7971 11.4139 6.6417
angles (deg): 90.00 90.00 90.00
Space group Amm2 (No. 38)
Inequivalent atoms, fractional coordinates:
Hf: 0.0000 0.0000 0.0000
Zr: 0.0000 0.2080 0.3751
Al: 0.5000 0.0000 0.3419
Al: 0.5000 0.1226 0.7059
Ni: 0.0000 0.0000 0.5892
Ni: 0.5000 0.1638 0.0829

=====

Material: Hf2Al2O5
Method: DFT, PBE
State: relaxed

Output
distance to the lowest polymorph of the same formula: 247 meV per atom

a b c (Å): 3.7722 3.7722 6.2493
angles (deg): 90.00 90.00 90.00
Space group P4/mmm (No. 123)
Inequivalent atoms, fractional coordinates:
Hf: 0.0000 0.0000 0.0000
Hf: 0.0000 0.0000 0.5000
Al: 0.5000 0.5000 0.2135
O: 0.0000 0.5000 0.2392
O: 0.5000 0.5000 0.5000

=====

Material: HfAl3O
Method: DFT, PBE
State: relaxed

a b c (Å): 4.1867 4.1867 4.1867
angles (deg): 90.00 90.00 90.00
Space group Pm-3m (No. 221)
Inequivalent atoms, fractional coordinates:
Hf: 0.0000 0.0000 0.0000
Al: 0.0000 0.5000 0.5000
O: 0.5000 0.5000 0.5000

=====

Material: Hf30Al2O63
Method: DFT, PBE
State: relaxed

a b c (Å): 10.1817 10.2305 10.5545
angles (deg): 90.46 99.11 90.47
Space group P1 (No. 1)
Inequivalent atoms, fractional coordinates:
Hf: 0.0000 0.0000 0.0000
Hf: 0.0001 0.2860 0.7495
Hf: 0.2549 0.5392 0.1957
Hf: 0.2653 0.2388 0.4655
Hf: 0.2721 0.7433 0.4565
Hf: 0.2734 0.0396 0.2088
Hf: 0.2739 0.7461 0.9564
Hf: 0.2746 0.5320 0.7040
Hf: 0.2770 0.2474 0.9554
Hf: 0.2800 0.0392 0.7123
Hf: 0.4974 0.9998 0.5013
Hf: 0.4982 0.4957 0.9970
Hf: 0.4977 0.7882 0.7500
Hf: 0.5003 0.7869 0.2474
Hf: 0.5000 0.9958 0.0009
Hf: 0.5037 0.4961 0.5147
Hf: 0.5105 0.2793 0.2423
Hf: 0.7705 0.5323 0.7121
Hf: 0.7724 0.0400 0.7109
Hf: 0.7735 0.2475 0.9611
Hf: 0.7725 0.7443 0.4598
Hf: 0.7739 0.7469 0.9583
Hf: 0.7775 0.5336 0.2072
Hf: 0.7776 0.2465 0.4559
Hf: 0.7851 0.0398 0.2084
Hf: 0.9897 0.4904 0.9988
Hf: 0.9953 0.9930 0.5030
Hf: 0.9956 0.4939 0.4947
Hf: 0.9955 0.7901 0.2502
Hf: 0.9979 0.7853 0.7499
Al: 0.0128 0.2782 0.2641
Al: 0.5128 0.2751 0.7709
O: 0.0908 0.4212 0.1819
O: 0.0966 0.3482 0.4241
O: 0.1008 0.9353 0.1819
O: 0.1018 0.4250 0.6726
O: 0.1017 0.8531 0.9314
O: 0.1028 0.8538 0.4305
O: 0.1031 0.9284 0.6817
O: 0.1068 0.3574 0.9269
O: 0.1605 0.6068 0.0296
O: 0.1624 0.6083 0.5286
O: 0.1661 0.6856 0.2762
O: 0.1683 0.1003 0.5359
O: 0.1684 0.1761 0.7825
O: 0.1679 0.6743 0.7798
O: 0.1708 0.1850 0.2798
O: 0.1732 0.1044 0.0292
O: 0.3370 0.4060 0.5549
O: 0.3562 0.3867 0.1046
O: 0.3582 0.8922 0.5922
O: 0.3603 0.8888 0.0929
O: 0.3596 0.8937 0.8442
O: 0.3612 0.8939 0.3421
O: 0.3635 0.3868 0.8312
O: 0.3960 0.6040 0.3602
O: 0.4059 0.6453 0.1118
O: 0.4087 0.1467 0.3654
O: 0.4104 0.6357 0.8630
O: 0.4105 0.6496 0.6135
O: 0.4132 0.1611 0.6245
O: 0.4151 0.1427 0.1137
O: 0.4181 0.1378 0.8662
O: 0.5824 0.3527 0.4203
O: 0.5907 0.4199 0.6876
O: 0.5959 0.3451 0.9317
O: 0.5969 0.8482 0.4329
O: 0.6003 0.9324 0.6787
O: 0.6020 0.4297 0.1758
O: 0.6033 0.8541 0.9286
O: 0.6059 0.9289 0.1818
O: 0.6635 0.6079 0.0286
O: 0.6662 0.6754 0.2819
O: 0.6667 0.1794 0.7806
O: 0.6669 0.6791 0.7792
O: 0.6703 0.1039 0.5259
O: 0.6699 0.6032 0.5362
O: 0.6733 0.1787 0.2771
O: 0.6748 0.1006 0.0325
O: 0.8405 0.4034 0.0762
O: 0.8536 0.3893 0.5883
O: 0.8576 0.8872 0.5941
O: 0.8580 0.8946 0.3449
O: 0.8594 0.8950 0.8430
O: 0.8609 0.3881 0.3345
O: 0.8614 0.3902 0.8386
O: 0.8611 0.8935 0.0932
O: 0.9077 0.6346 0.8653
O: 0.9101 0.6377 0.3646
O: 0.9099 0.6425 0.6163
O: 0.9103 0.6498 0.1145
O: 0.9112 0.1460 0.6150
O: 0.9122 0.1383 0.8672
O: 0.9168 0.1384 0.3677
O: 0.9186 0.1630 0.1246

=====

Material: Hf2Al2O5
Method: DFT, PBE
State: relaxed

Output
distance to the lowest polymorph of the same formula: 0 meV per atom

a b c (Å): 3.4881 3.4881 8.7910
angles (deg): 90.00 90.00 90.00
Space group P4/mmm (No. 123)
Inequivalent atoms, fractional coordinates:
Hf: 0.0000 0.0000 0.2412
Al: 0.5000 0.5000 0.0000
Al: 0.5000 0.5000 0.5000
O: 0.0000 0.0000 0.0000
O: 0.0000 0.5000 0.3648

=====

Material: HfAlOs
Method: DFT, PBE
State: relaxed

a b c (Å): 6.1733 6.1733 6.1733
angles (deg): 90.00 90.00 90.00
Space group F-43m (No. 216)
Inequivalent atoms, fractional coordinates:
Hf: 0.0000 0.0000 0.0000
Al: 0.0000 0.0000 0.5000
Os: 0.2500 0.2500 0.7500

=====

Material: HfAlOs
Method: DFT, PBE
State: relaxed

a b c (Å): 6.2469 6.2469 6.2469
angles (deg): 90.00 90.00 90.00
Space group F-43m (No. 216)
Inequivalent atoms, fractional coordinates:
Hf: 0.0000 0.0000 0.0000
Al: 0.2500 0.2500 0.7500
Os: 0.2500 0.2500 0.2500

=====

Material: Hf6Al16Os7
Method: DFT, PBE
State: relaxed

a b c (Å): 12.3265 12.3265 12.3265
angles (deg): 90.00 90.00 90.00
Space group Fm-3m (No. 225)
Inequivalent atoms, fractional coordinates:
Hf: 0.0000 0.0000 0.2064
Al: 0.1196 0.1196 0.3804
Al: 0.1632 0.1632 0.1632
Os: 0.0000 0.0000 0.5000
Os: 0.0000 0.2500 0.2500

=====

Material: Hf2Al2Os
Method: DFT, PBE
State: relaxed

a b c (Å): 3.4338 3.4338 16.0303
angles (deg): 90.00 90.00 90.00
Space group I4/mmm (No. 139)
Inequivalent atoms, fractional coordinates:
Hf: 0.0000 0.0000 0.0968
Al: 0.0000 0.5000 0.2500
Os: 0.0000 0.0000 0.5000

=====

Material: HfPa2Al4
Method: DFT, PBE
State: relaxed

a b c (Å): 6.0063 12.1548 4.1877
angles (deg): 90.00 90.00 90.00
Space group Cmmm (No. 65)
Inequivalent atoms, fractional coordinates:
Hf: 0.0000 0.0000 0.0000
Pa: 0.2500 0.2500 0.5000
Al: 0.0000 0.3877 0.0000
Al: 0.2119 0.5000 0.5000

=====

Material: HfAlPb
Method: DFT, PBE
State: relaxed

Output
distance to the lowest polymorph of the same formula: 40 meV per atom

a b c (Å): 6.6979 6.6979 6.6979
angles (deg): 90.00 90.00 90.00
Space group F-43m (No. 216)
Inequivalent atoms, fractional coordinates:
Hf: 0.0000 0.0000 0.0000
Al: 0.2500 0.2500 0.2500
Pb: 0.0000 0.0000 0.5000

=====

Material: HfAlPb
Method: DFT, PBE
State: relaxed

Output
distance to the lowest polymorph of the same formula: 0 meV per atom

a b c (Å): 6.8146 6.8146 6.8146
angles (deg): 90.00 90.00 90.00
Space group F-43m (No. 216)
Inequivalent atoms, fractional coordinates:
Hf: 0.0000 0.0000 0.0000
Al: 0.2500 0.2500 0.7500
Pb: 0.2500 0.2500 0.2500

=====

Material: HfAlPbS3
Method: DFT, PBE
State: relaxed

a b c (Å): 3.4406 16.2418 9.7346
angles (deg): 90.00 90.00 90.00
Space group Cmcm (No. 63)
Inequivalent atoms, fractional coordinates:
Hf: 0.0000 0.0000 0.0000
Al: 0.0000 0.4530 0.2500
Pb: 0.0000 0.2654 0.7500
S: 0.0000 0.0524 0.2500
S: 0.0000 0.3824 0.0499

=====

Material: HfAlPbSe3
Method: DFT, PBE
State: relaxed

a b c (Å): 3.6372 15.9186 9.8398
angles (deg): 90.00 90.00 90.00
Space group Cmcm (No. 63)
Inequivalent atoms, fractional coordinates:
Hf: 0.0000 0.0000 0.0000
Al: 0.0000 0.4632 0.2500
Pb: 0.0000 0.2601 0.7500
Se: 0.0000 0.0775 0.2500
Se: 0.0000 0.3729 0.0458

=====

Material: HfAlTe3Pb
Method: DFT, PBE
State: relaxed

a b c (Å): 3.9081 16.5482 10.3224
angles (deg): 90.00 90.00 90.00
Space group Cmcm (No. 63)
Inequivalent atoms, fractional coordinates:
Hf: 0.0000 0.0000 0.0000
Al: 0.0000 0.4697 0.2500
Te: 0.0000 0.0890 0.2500
Te: 0.0000 0.3673 0.0429
Pb: 0.0000 0.2511 0.7500

=====

Material: HfAl2Pd2
Method: DFT, PBE
State: relaxed

a b c (Å): 3.7738 3.7738 11.9553
angles (deg): 90.00 90.00 90.00
Space group I4/mmm (No. 139)
Inequivalent atoms, fractional coordinates:
Hf: 0.0000 0.0000 0.0000
Al: 0.0000 0.5000 0.2500
Pd: 0.0000 0.0000 0.3912

=====

Material: Hf2Al3Pd
Method: DFT, PBE
State: relaxed

a b c (Å): 5.3208 5.3208 8.3391
angles (deg): 90.00 90.00 120.00
Space group P6_3/mmc (No. 194)
Inequivalent atoms, fractional coordinates:
Hf: 0.3333 0.6667 0.0686
Al: 0.1701 0.3402 0.7500
Pd: 0.0000 0.0000 0.0000

=====

Material: PrHfAl2Pd4
Method: DFT, PBE
State: relaxed

a b c (Å): 4.3600 4.3600 9.0904
angles (deg): 90.00 90.00 120.00
Space group P-6m2 (No. 187)
Inequivalent atoms, fractional coordinates:
Pr: 0.0000 0.0000 0.0000
Hf: 0.3333 0.6667 0.5000
Al: 0.6667 0.3333 0.2731
Pd: 0.0000 0.0000 0.3472
Pd: 0.3333 0.6667 0.1911

=====

| no. | uncorrected energy (eV/atom) |
| --- | --- |
| 1 | -6.89 |
| 2 | -6.67 |
| 3 | -6.75 |
| 4 | -7.96 |
| 5 | -5.86 |
| 6 | -9.98 |
| 7 | -8.21 |
| 8 | -8.57 |
| 9 | -7.87 |
| 10 | -7.37 |
| 11 | -7.67 |
| 12 | -6.14 |
| 13 | -5.33 |
| 14 | -5.37 |
| 15 | -5.70 |
| 16 | -5.24 |
| 17 | -4.77 |
| 18 | -6.16 |
| 19 | -6.69 |
| 20 | -6.19 |